# 1
! CrPCl2 | Alexandria | PBE-GGA | relaxed; values from VASP
&SYSTEM
  ibrav = 0, nat = 4, ntyp = 3
/
ATOMIC_SPECIES
Cr 52.00 Cr.upf
P 30.97 P.upf
Cl 35.45 Cl.upf
CELL_PARAMETERS angstrom
1.7303 0.0000 11.0111
-0.8652 1.4985 11.0111
-0.8652 -1.4985 11.0111
ATOMIC_POSITIONS crystal
Cr 0.5000 0.5000 0.5000
P 0.0000 0.0000 0.0000
Cl 0.8807 0.8807 0.8807
Cl 0.1193 0.1193 0.1193
! DOS at the Fermi energy	0.7294	states/eV per atom
! E above lowest polymorph	549.4	meV per atom
! SG	R-3m (166)
! energy	-18.12	eV for the cell shown



# 2
! CrP2Cl | Alexandria | PBE-GGA | relaxed; values from VASP
&SYSTEM
  ibrav = 0, nat = 4, ntyp = 3
/
ATOMIC_SPECIES
Cr 52.00 Cr.upf
P 30.97 P.upf
Cl 35.45 Cl.upf
CELL_PARAMETERS angstrom
0.0000 3.1541 3.1541
3.1541 0.0000 3.1541
3.1541 3.1541 0.0000
ATOMIC_POSITIONS crystal
Cr 0.5000 0.5000 0.5000
P 0.2500 0.2500 0.2500
P 0.7500 0.7500 0.7500
Cl 0.0000 0.0000 0.0000
! DOS at the Fermi energy	0.7566	states/eV per atom
! E above lowest polymorph	1042.0	meV per atom
! SG	Fm-3m (225)
! energy	-19.24	eV for the cell shown



# 3
! CrP3Cl | Alexandria | PBE-GGA | relaxed; values from VASP
&SYSTEM
  ibrav = 0, nat = 5, ntyp = 3
/
ATOMIC_SPECIES
Cr 52.00 Cr.upf
P 30.97 P.upf
Cl 35.45 Cl.upf
CELL_PARAMETERS angstrom
-3.4524 -0.1055 -2.7837
1.3986 -3.8994 -1.5868
-2.4092 -2.1126 3.0679
ATOMIC_POSITIONS crystal
Cr 0.5000 0.5000 0.5000
P 0.0000 0.5000 0.0000
P 0.0000 0.0000 0.5000
P 0.5000 0.0000 0.0000
Cl 0.0000 0.0000 0.0000
! DOS at the Fermi energy	1.5180	states/eV per atom
! E above lowest polymorph	1392.0	meV per atom
! SG	Pm-3m (221)
! energy	-19.18	eV for the cell shown



# 4
! Cr2PCl | Alexandria | PBE-GGA | relaxed; values from VASP
&SYSTEM
  ibrav = 0, nat = 4, ntyp = 3
/
ATOMIC_SPECIES
Cr 52.00 Cr.upf
P 30.97 P.upf
Cl 35.45 Cl.upf
CELL_PARAMETERS angstrom
-1.6631 -0.4948 3.8521
-3.7895 1.6414 0.8916
-3.3269 -2.5445 0.5536
ATOMIC_POSITIONS crystal
Cr 0.2500 0.2500 0.2500
Cr 0.7500 0.7500 0.7500
P 0.0000 0.0000 0.0000
Cl 0.5000 0.5000 0.5000
! DOS at the Fermi energy	0.5597	states/eV per atom
! E above lowest polymorph	555.5	meV per atom
! SG	Fm-3m (225)
! energy	-25.52	eV for the cell shown



# 5
! Cr2PCl | Alexandria | PBE-GGA | relaxed; values from VASP
&SYSTEM
  ibrav = 0, nat = 8, ntyp = 3
/
ATOMIC_SPECIES
Cr 52.00 Cr.upf
P 30.97 P.upf
Cl 35.45 Cl.upf
CELL_PARAMETERS angstrom
6.3568 0.0000 0.0000
0.0000 6.3568 0.0000
3.1784 3.1784 4.0712
ATOMIC_POSITIONS crystal
Cr 0.5962 0.1250 0.2500
Cr 0.1538 0.6250 0.2500
Cr 0.3750 0.4038 0.7500
Cr 0.8750 0.8462 0.7500
P 0.5000 0.5000 0.0000
P 0.2500 0.7500 0.5000
Cl 0.0000 0.0000 0.0000
Cl 0.7500 0.2500 0.5000
! DOS at the Fermi energy	0.0305	states/eV per atom
! E above lowest polymorph	278.0	meV per atom
! SG	I-42d (122)
! energy	-53.26	eV for the cell shown



# 6
! CrP2Cl | Alexandria | PBE-GGA | relaxed; values from VASP
&SYSTEM
  ibrav = 0, nat = 4, ntyp = 3
/
ATOMIC_SPECIES
Cl 35.45 Cl.upf
Cr 52.00 Cr.upf
P 30.97 P.upf
CELL_PARAMETERS angstrom
-3.1471 -1.0521 0.8935
-0.5097 -1.1815 -3.1864
2.3277 -5.5358 1.6803
ATOMIC_POSITIONS crystal
Cl 0.5000 0.0000 0.5000
Cr 0.0000 0.5000 0.5000
P 0.0000 0.0000 0.0000
P 0.5000 0.5000 0.0000
! DOS at the Fermi energy	0.4461	states/eV per atom
! E above lowest polymorph	518.5	meV per atom
! SG	P4/mmm (123)
! energy	-21.33	eV for the cell shown



# 7
! CrPCl2 | Alexandria | PBE-GGA | relaxed; values from VASP
&SYSTEM
  ibrav = 0, nat = 4, ntyp = 3
/
ATOMIC_SPECIES
Cl 35.45 Cl.upf
Cr 52.00 Cr.upf
P 30.97 P.upf
CELL_PARAMETERS angstrom
3.3408 0.0040 0.0000
-1.7428 2.8501 0.0000
0.0000 0.0000 11.1130
ATOMIC_POSITIONS crystal
Cl 0.0000 0.0000 0.1006
Cl 0.0000 0.0000 0.3994
Cr 0.5000 0.5000 0.2500
P 0.5000 0.5000 0.7500
! DOS at the Fermi energy	0.3607	states/eV per atom
! E above lowest polymorph	471.8	meV per atom
! SG	Cmmm (65)
! energy	-18.43	eV for the cell shown



# 8
! CrPCl2 | Alexandria | PBE-GGA | relaxed; values from VASP
&SYSTEM
  ibrav = 0, nat = 4, ntyp = 3
/
ATOMIC_SPECIES
Cl 35.45 Cl.upf
Cr 52.00 Cr.upf
P 30.97 P.upf
CELL_PARAMETERS angstrom
7.5622 -0.1579 0.0695
5.8660 4.7752 -0.0695
-6.4615 -3.0435 2.4908
ATOMIC_POSITIONS crystal
Cl 0.8845 0.8845 0.0000
Cl 0.6155 0.6155 0.0000
Cr 0.7500 0.2500 0.5000
P 0.2500 0.7500 0.5000
! DOS at the Fermi energy	0.5842	states/eV per atom
! E above lowest polymorph	311.5	meV per atom
! SG	Immm (71)
! energy	-19.07	eV for the cell shown



# 9
! Cr2PCl | Alexandria | PBE-GGA | relaxed; values from VASP
&SYSTEM
  ibrav = 0, nat = 4, ntyp = 3
/
ATOMIC_SPECIES
Cl 35.45 Cl.upf
Cr 52.00 Cr.upf
P 30.97 P.upf
CELL_PARAMETERS angstrom
6.8676 0.5511 0.0000
4.7505 4.9899 0.0000
-5.8090 -2.7705 2.4589
ATOMIC_POSITIONS crystal
Cl 0.7500 0.2500 0.5000
Cr 0.0000 0.0000 0.0000
Cr 0.2500 0.7500 0.5000
P 0.5000 0.5000 0.0000
! DOS at the Fermi energy	0.3436	states/eV per atom
! E above lowest polymorph	474.1	meV per atom
! SG	I-4m2 (119)
! energy	-25.85	eV for the cell shown



# 10
! Cr2PCl | Alexandria | PBE-GGA | relaxed; values from VASP
&SYSTEM
  ibrav = 0, nat = 4, ntyp = 3
/
ATOMIC_SPECIES
Cl 35.45 Cl.upf
Cr 52.00 Cr.upf
P 30.97 P.upf
CELL_PARAMETERS angstrom
-4.6064 -0.0312 4.8716
-6.6587 -0.2180 0.7527
5.6698 -2.1777 -2.8397
ATOMIC_POSITIONS crystal
Cl 0.2901 0.7901 0.5000
Cr 0.9923 0.9923 0.0000
Cr 0.6758 0.1758 0.5000
P 0.5418 0.5418 0.0000
! DOS at the Fermi energy	0.7408	states/eV per atom
! E above lowest polymorph	100.4	meV per atom
! SG	Imm2 (44)
! energy	-27.34	eV for the cell shown



# 11
! Cr2PCl | Alexandria | PBE-GGA | relaxed; values from VASP
&SYSTEM
  ibrav = 0, nat = 4, ntyp = 3
/
ATOMIC_SPECIES
Cl 35.45 Cl.upf
Cr 52.00 Cr.upf
P 30.97 P.upf
CELL_PARAMETERS angstrom
-1.8084 -2.9255 -1.4287
4.5698 -0.9477 -3.8438
1.4346 -1.9551 2.1875
ATOMIC_POSITIONS crystal
Cl 0.0000 0.5000 0.5000
Cr 0.0000 0.0000 0.0000
Cr 0.5000 0.5000 0.0000
P 0.5000 0.0000 0.5000
! DOS at the Fermi energy	0.2846	states/eV per atom
! E above lowest polymorph	461.0	meV per atom
! SG	Pmmm (47)
! energy	-25.90	eV for the cell shown



# 12
! CrP2Cl | Alexandria | PBE-GGA | relaxed; values from VASP
&SYSTEM
  ibrav = 0, nat = 4, ntyp = 3
/
ATOMIC_SPECIES
Cl 35.45 Cl.upf
Cr 52.00 Cr.upf
P 30.97 P.upf
CELL_PARAMETERS angstrom
5.8438 -1.0109 0.2221
0.8803 5.8649 -0.2221
-1.7174 -4.7052 3.1832
ATOMIC_POSITIONS crystal
Cl 0.4318 0.4318 0.0000
Cr 0.2273 0.7273 0.5000
P 0.0028 0.0028 0.0000
P 0.8381 0.3381 0.5000
! DOS at the Fermi energy	0.4045	states/eV per atom
! E above lowest polymorph	335.2	meV per atom
! SG	Imm2 (44)
! energy	-22.06	eV for the cell shown



# 13
! CrPCl2 | Alexandria | PBE-GGA | relaxed; values from VASP
&SYSTEM
  ibrav = 0, nat = 4, ntyp = 3
/
ATOMIC_SPECIES
Cl 35.45 Cl.upf
Cr 52.00 Cr.upf
P 30.97 P.upf
CELL_PARAMETERS angstrom
4.6260 0.0000 0.0000
2.3130 4.0063 0.0000
2.3130 1.3354 3.7771
ATOMIC_POSITIONS crystal
Cl 0.0000 0.0000 0.0000
Cl 0.2500 0.2500 0.2500
Cr 0.5000 0.5000 0.5000
P 0.7500 0.7500 0.7500
! DOS at the Fermi energy	0.6357	states/eV per atom
! E above lowest polymorph	901.4	meV per atom
! SG	F-43m (216)
! energy	-16.71	eV for the cell shown



# 14
! CrPCl2 | Alexandria | PBE-GGA | relaxed; values from VASP
&SYSTEM
  ibrav = 0, nat = 4, ntyp = 3
/
ATOMIC_SPECIES
Cl 35.45 Cl.upf
Cr 52.00 Cr.upf
P 30.97 P.upf
CELL_PARAMETERS angstrom
8.6659 -0.0172 -0.0101
8.0803 3.1317 -0.0101
8.0803 1.5028 2.7476
ATOMIC_POSITIONS crystal
Cl 0.0261 0.0261 0.0261
Cl 0.2179 0.2179 0.2179
Cr 0.4885 0.4885 0.4885
P 0.7675 0.7675 0.7675
! DOS at the Fermi energy	0.7473	states/eV per atom
! E above lowest polymorph	222.3	meV per atom
! SG	R3m (160)
! energy	-19.43	eV for the cell shown



# 15
! CrP2Cl | Alexandria | PBE-GGA | relaxed; values from VASP
&SYSTEM
  ibrav = 0, nat = 4, ntyp = 3
/
ATOMIC_SPECIES
Cl 35.45 Cl.upf
Cr 52.00 Cr.upf
P 30.97 P.upf
CELL_PARAMETERS angstrom
4.0066 -0.1349 0.3566
2.9097 2.7577 0.3566
3.2765 1.2425 6.7158
ATOMIC_POSITIONS crystal
Cl 0.7500 0.7500 0.7500
Cr 0.2500 0.2500 0.2500
P 0.0394 0.0394 0.1068
P 0.4606 0.4606 0.3932
! DOS at the Fermi energy	0.5299	states/eV per atom
! E above lowest polymorph	288.1	meV per atom
! SG	C2/m (12)
! energy	-22.25	eV for the cell shown



# 16
! CrPCl | Alexandria | PBE-GGA | relaxed; values from VASP
&SYSTEM
  ibrav = 0, nat = 3, ntyp = 3
/
ATOMIC_SPECIES
Cl 35.45 Cl.upf
Cr 52.00 Cr.upf
P 30.97 P.upf
CELL_PARAMETERS angstrom
4.3333 0.0000 0.0000
2.1667 3.7528 0.0000
2.1667 1.2509 3.5382
ATOMIC_POSITIONS crystal
Cl 0.7500 0.7500 0.7500
Cr 0.0000 0.0000 0.0000
P 0.5000 0.5000 0.5000
! DOS at the Fermi energy	1.1039	states/eV per atom
! E above lowest polymorph	1450.4	meV per atom
! SG	F-43m (216)
! energy	-14.00	eV for the cell shown



# 17
! CrP2Cl4 | Alexandria | PBE-GGA | relaxed; values from VASP
&SYSTEM
  ibrav = 0, nat = 14, ntyp = 3
/
ATOMIC_SPECIES
Cr 52.00 Cr.upf
P 30.97 P.upf
Cl 35.45 Cl.upf
CELL_PARAMETERS angstrom
10.4507 0.0000 0.0000
0.0000 3.4098 0.0722
0.0000 1.2776 12.5464
ATOMIC_POSITIONS crystal
Cr 0.0000 0.0000 0.0000
Cr 0.5000 0.0000 0.5000
P 0.0638 0.2637 0.4681
P 0.5638 0.7363 0.0319
P 0.9362 0.7363 0.5319
P 0.4362 0.2637 0.9681
Cl 0.3113 0.2010 0.0975
Cl 0.8113 0.7990 0.4025
Cl 0.6887 0.7990 0.9025
Cl 0.1887 0.2010 0.5975
Cl 0.9470 0.4446 0.1222
Cl 0.4470 0.5554 0.3778
Cl 0.0530 0.5554 0.8778
Cl 0.5530 0.4446 0.6222
! SG	P2_1/c (14)
! energy	-63.92	eV for the cell shown



# 18
! CrPCl | Alexandria | PBE-GGA | relaxed; values from VASP
&SYSTEM
  ibrav = 0, nat = 3, ntyp = 3
/
ATOMIC_SPECIES
Cl 35.45 Cl.upf
Cr 52.00 Cr.upf
P 30.97 P.upf
CELL_PARAMETERS angstrom
-4.4917 -4.2510 -2.1897
-0.9879 -5.0634 -4.0530
3.2319 3.3718 4.6072
ATOMIC_POSITIONS crystal
Cl 0.9515 0.9515 0.0000
Cr 0.3299 0.3299 0.0000
P 0.7186 0.7186 0.0000
! DOS at the Fermi energy	0.5334	states/eV per atom
! E above lowest polymorph	515.0	meV per atom
! SG	I4mm (107)
! energy	-16.80	eV for the cell shown



# 19
! CrP2Cl | Alexandria | PBE-GGA | relaxed; values from VASP
&SYSTEM
  ibrav = 0, nat = 4, ntyp = 3
/
ATOMIC_SPECIES
Cl 35.45 Cl.upf
Cr 52.00 Cr.upf
P 30.97 P.upf
CELL_PARAMETERS angstrom
-3.6456 2.8114 -3.2189
1.6972 -5.3532 -0.1352
-2.1457 -0.7257 1.7963
ATOMIC_POSITIONS crystal
Cl 0.5000 0.0000 0.5000
Cr 0.0000 0.5000 0.5000
P 0.0000 0.0000 0.0000
P 0.5000 0.5000 0.0000
! DOS at the Fermi energy	0.6233	states/eV per atom
! E above lowest polymorph	767.8	meV per atom
! SG	Cmmm (65)
! energy	-20.33	eV for the cell shown



# 20
! CrPCl2 | Alexandria | PBE-GGA | relaxed; values from VASP
&SYSTEM
  ibrav = 0, nat = 4, ntyp = 3
/
ATOMIC_SPECIES
Cr 52.00 Cr.upf
P 30.97 P.upf
Cl 35.45 Cl.upf
CELL_PARAMETERS angstrom
-0.9200 2.6882 0.9892
-2.1698 0.0242 -2.0838
-6.9264 -5.0030 7.1541
ATOMIC_POSITIONS crystal
Cr 0.5000 0.5000 0.0000
P 0.5000 0.5000 0.5000
Cl 0.0000 0.0000 0.8630
Cl 0.0000 0.0000 0.1370
! DOS at the Fermi energy	1.1056	states/eV per atom
! E above lowest polymorph	632.9	meV per atom
! SG	P4/mmm (123)
! energy	-17.78	eV for the cell shown